Entry 1:
A relaxed structure of BeCdSi3, computed with GGA-PBE.

* space-group type: Pm-3m, No. 221
* E_form (uncorrected): 1716 meV per atom
* total moment: 0.00 μB per formula unit
* polymorph energy (0 for the lowest one): 1.0370 eV per atom
* crystal system: cubic

Cell lengths 4.991, 4.991, 4.991 Å; angles 90.00, 90.00, 90.00 degrees
Fractional coordinates of all 5 atoms:
1 Be 0.500 0.500 0.500
2 Si 0.000 0.500 0.000
3 Si 0.000 0.000 0.500
4 Si 0.500 0.000 0.000
5 Cd 0.000 0.000 0.000

=====

Entry 2:
A relaxed structure of BeCd3Si, computed with GGA-PBE.

* space-group type: Pm-3m, No. 221
* E_form (uncorrected): 604 meV per atom
* total moment: 0.00 μB per formula unit
* polymorph energy (0 for the lowest one): 0.0000 eV per atom
* crystal system: cubic

Cell lengths 4.710, 4.710, 4.710 Å; angles 90.00, 90.00, 90.00 degrees
Fractional coordinates of all 5 atoms:
1 Be 0.000 0.000 0.000
2 Si 0.500 0.500 0.500
3 Cd 0.000 0.500 0.000
4 Cd 0.000 0.000 0.500
5 Cd 0.500 0.000 0.000

=====

Entry 3:
A relaxed structure of BeCd2Si2, computed with GGA-PBE.

* space-group type: P4/mbm, No. 127
* E_form (uncorrected): 360 meV per atom
* total moment: 0.00 μB per formula unit
* polymorph energy (0 for the lowest one): 0.0000 eV per atom
* crystal system: tetragonal

Cell lengths 5.884, 5.884, 5.201 Å; angles 90.00, 90.00, 90.00 degrees
Fractional coordinates of all 10 atoms:
1 Be 0.000 0.000 0.000
2 Be 0.500 0.500 0.000
3 Si 0.355 0.855 0.000
4 Si 0.855 0.645 0.000
5 Si 0.645 0.145 0.000
6 Si 0.145 0.355 0.000
7 Cd 0.190 0.690 0.500
8 Cd 0.690 0.810 0.500
9 Cd 0.810 0.310 0.500
10 Cd 0.310 0.190 0.500

=====

Entry 4:
A relaxed structure of BeCdSi, computed with GGA-PBE.

* space-group type: P2_1/m, No. 11
* E_form (uncorrected): 242 meV per atom
* total moment: 0.00 μB per formula unit
* crystal system: monoclinic

Cell lengths 3.761, 7.130, 4.215 Å; angles 63.98, 90.00, 90.00 degrees
Fractional coordinates of all 6 atoms:
1 Be 0.176 0.595 0.207
2 Be 0.676 0.576 0.965
3 Si 0.676 0.721 0.359
4 Si 0.176 0.450 0.812
5 Cd 0.176 0.016 0.877
6 Cd 0.676 0.155 0.294

=====

Entry 5:
A relaxed structure of Be3CdSi, computed with GGA-PBE.

* space-group type: Pm-3m, No. 221
* E_form (uncorrected): 1316 meV per atom
* total moment: 0.00 μB per formula unit
* polymorph energy (0 for the lowest one): 0.4893 eV per atom
* crystal system: cubic

Cell lengths 4.412, 4.412, 4.412 Å; angles 90.00, 90.00, 90.00 degrees
Fractional coordinates of all 5 atoms:
1 Be 0.000 0.500 0.000
2 Be 0.000 0.000 0.500
3 Be 0.500 0.000 0.000
4 Si 0.500 0.500 0.500
5 Cd 0.000 0.000 0.000

=====

Entry 6:
A relaxed structure of BeCdSi, computed with GGA-PBE.

* space-group type: Fmm2, No. 42
* E_form (uncorrected): 546 meV per atom
* total moment: 0.00 μB per formula unit
* crystal system: orthorhombic

Cell lengths 6.929, 6.715, 2.823 Å; angles 82.35, 73.83, 23.81 degrees
Fractional coordinates of all 3 atoms:
1 Be 0.011 0.011 0.989
2 Si 0.639 0.639 0.361
3 Cd 0.350 0.350 0.650

=====

Entry 7:
A relaxed structure of BeCd4Si, computed with GGA-PBE.

* space-group type: F-43m, No. 216
* E_form (uncorrected): 671 meV per atom
* total moment: 0.00 μB per formula unit
* crystal system: cubic

Cell lengths 5.652, 5.652, 5.652 Å; angles 60.00, 60.00, 60.00 degrees
Fractional coordinates of all 6 atoms:
1 Be 0.000 0.000 0.000
2 Cd 0.876 0.375 0.375
3 Cd 0.375 0.375 0.876
4 Cd 0.375 0.876 0.375
5 Cd 0.375 0.375 0.375
6 Si 0.750 0.750 0.750

=====

Entry 8:
A relaxed structure of BeCd2SiW, computed with GGA-PBE.

* space-group type: P4/mmm, No. 123
* E_form (uncorrected): 1617 meV per atom
* total moment: 0.00 μB per formula unit
* crystal system: tetragonal

Cell lengths 5.252, 4.408, 5.252 Å; angles 90.00, 90.00, 90.00 degrees
Fractional coordinates of all 5 atoms:
1 Be 0.000 0.500 0.000
2 Si 0.500 0.500 0.500
3 W 0.000 0.000 0.000
4 Cd 0.000 0.000 0.500
5 Cd 0.500 0.000 0.000

=====

Number 2 is which compound?
BeCd3Si

=====

Look up the total moment of the fourth one.
0.00 μB per formula unit